Below is a relaxed LiMnP2O7 crystal, with properties calculated at the PBEsol level.

abc: 6.810 8.146 9.182
angles: 90.00 110.44 90.00
Positions (direct):
Li (0.208, 0.063, 0.083)
Li (0.208, 0.437, 0.583)
Li (0.792, 0.563, 0.417)
Li (0.792, 0.937, 0.917)
Mn (0.301, 0.071, 0.677)
Mn (0.301, 0.429, 0.177)
Mn (0.699, 0.571, 0.823)
Mn (0.699, 0.929, 0.323)
P (0.057, 0.739, 0.738)
P (0.057, 0.761, 0.238)
P (0.456, 0.725, 0.027)
P (0.456, 0.775, 0.527)
P (0.544, 0.225, 0.473)
P (0.544, 0.275, 0.973)
P (0.943, 0.239, 0.762)
P (0.943, 0.261, 0.262)
O (0.038, 0.615, 0.615)
O (0.038, 0.885, 0.115)
O (0.111, 0.587, 0.199)
O (0.111, 0.913, 0.699)
O (0.139, 0.247, 0.712)
O (0.139, 0.253, 0.212)
O (0.236, 0.685, 0.897)
O (0.236, 0.815, 0.397)
O (0.378, 0.229, 0.553)
O (0.378, 0.271, 0.053)
O (0.456, 0.613, 0.607)
O (0.456, 0.887, 0.107)
O (0.486, 0.579, 0.140)
O (0.486, 0.921, 0.640)
O (0.514, 0.079, 0.360)
O (0.514, 0.421, 0.860)
O (0.544, 0.113, 0.893)
O (0.544, 0.387, 0.393)
O (0.622, 0.729, 0.947)
O (0.622, 0.771, 0.447)
O (0.764, 0.185, 0.603)
O (0.764, 0.315, 0.103)
O (0.861, 0.747, 0.788)
O (0.861, 0.753, 0.288)
O (0.889, 0.087, 0.301)
O (0.889, 0.413, 0.801)
O (0.962, 0.115, 0.885)
O (0.962, 0.385, 0.385)

ΔE to the lowest computed polymorph: 13 meV per atom
space group: P2_1/c (14)

Below is a relaxed LiMnP2O7 crystal, with properties calculated at the PBEsol level.

abc: 5.827 5.977 7.858
angles: 96.19 97.84 106.07
Positions (direct):
Li (0.000, 0.000, 0.000)
Li (0.000, 0.000, 0.500)
Mn (0.342, 0.690, 0.213)
Mn (0.658, 0.310, 0.787)
P (0.198, 0.472, 0.796)
P (0.417, 0.225, 0.327)
P (0.583, 0.775, 0.673)
P (0.802, 0.528, 0.204)
O (0.050, 0.697, 0.299)
O (0.189, 0.649, 0.945)
O (0.266, 0.369, 0.238)
O (0.304, 0.618, 0.647)
O (0.353, 0.310, 0.846)
O (0.356, 0.170, 0.501)
O (0.383, 0.010, 0.189)
O (0.617, 0.990, 0.811)
O (0.644, 0.830, 0.499)
O (0.647, 0.690, 0.154)
O (0.696, 0.382, 0.353)
O (0.734, 0.631, 0.762)
O (0.811, 0.351, 0.055)
O (0.950, 0.303, 0.701)

ΔE to the lowest computed polymorph: 71 meV per atom
space group: P-1 (2)

Below is a relaxed Li3MnP2O8 crystal, with properties calculated at the PBEsol level.

abc: 4.825 4.825 6.193
angles: 90.15 90.15 68.38
Positions (direct):
Li (0.000, 0.000, 0.000)
Li (0.324, 0.324, 0.230)
Li (0.676, 0.676, 0.770)
Mn (0.000, 0.000, 0.500)
P (0.349, 0.349, 0.741)
P (0.651, 0.651, 0.259)
O (0.236, 0.236, 0.534)
O (0.239, 0.698, 0.733)
O (0.243, 0.243, 0.941)
O (0.302, 0.761, 0.267)
O (0.698, 0.239, 0.733)
O (0.757, 0.757, 0.059)
O (0.761, 0.302, 0.267)
O (0.764, 0.764, 0.466)

ΔE to the lowest computed polymorph: 15 meV per atom
space group: C2/m (12)

Below is a relaxed Li3Mn2P3O12 crystal, with properties calculated at the PBEsol level.

abc: 8.602 8.602 6.133
angles: 105.01 105.01 98.83
Positions (direct):
Li (0.000, 0.000, 0.000)
Li (0.000, 0.000, 0.500)
Li (0.200, 0.800, 0.750)
Li (0.478, 0.522, 0.750)
Li (0.522, 0.478, 0.250)
Li (0.800, 0.200, 0.250)
Mn (0.136, 0.448, 0.879)
Mn (0.448, 0.136, 0.379)
Mn (0.552, 0.864, 0.621)
Mn (0.864, 0.552, 0.121)
P (0.170, 0.364, 0.369)
P (0.207, 0.793, 0.250)
P (0.364, 0.170, 0.869)
P (0.636, 0.830, 0.131)
P (0.793, 0.207, 0.750)
P (0.830, 0.636, 0.631)
O (0.027, 0.759, 0.263)
O (0.048, 0.199, 0.292)
O (0.119, 0.456, 0.180)
O (0.165, 0.486, 0.604)
O (0.199, 0.048, 0.792)
O (0.228, 0.684, 0.020)
O (0.241, 0.973, 0.237)
O (0.316, 0.772, 0.480)
O (0.355, 0.356, 0.410)
O (0.356, 0.355, 0.910)
O (0.456, 0.119, 0.680)
O (0.486, 0.165, 0.104)
O (0.514, 0.835, 0.896)
O (0.544, 0.881, 0.320)
O (0.644, 0.645, 0.090)
O (0.645, 0.644, 0.590)
O (0.684, 0.228, 0.520)
O (0.759, 0.027, 0.763)
O (0.772, 0.316, 0.980)
O (0.801, 0.952, 0.208)
O (0.835, 0.514, 0.396)
O (0.881, 0.544, 0.820)
O (0.952, 0.801, 0.708)
O (0.973, 0.241, 0.737)

ΔE to the lowest computed polymorph: 5 meV per atom
space group: C2/c (15)

Below is a relaxed Li5Mn3P4O16 crystal, with properties calculated at the PBEsol level.

abc: 4.701 5.899 10.318
angles: 90.00 90.40 90.00
Positions (direct):
Li (0.000, 0.000, 0.000)
Li (0.491, 0.244, 0.791)
Li (0.491, 0.756, 0.791)
Li (0.980, 0.245, 0.266)
Li (0.980, 0.755, 0.266)
Mn (0.479, 0.000, 0.499)
Mn (0.483, 0.500, 0.056)
Mn (0.976, 0.500, 0.559)
P (0.070, 0.500, 0.876)
P (0.401, 0.500, 0.373)
P (0.551, 0.000, 0.184)
P (0.910, 0.000, 0.688)
O (0.193, 0.500, 0.736)
O (0.209, 0.295, 0.948)
O (0.209, 0.705, 0.948)
O (0.227, 0.000, 0.187)
O (0.236, 0.000, 0.681)
O (0.265, 0.500, 0.236)
O (0.267, 0.294, 0.448)
O (0.267, 0.706, 0.448)
O (0.682, 0.212, 0.116)
O (0.682, 0.788, 0.116)
O (0.686, 0.000, 0.324)
O (0.725, 0.500, 0.375)
O (0.744, 0.500, 0.876)
O (0.773, 0.206, 0.612)
O (0.773, 0.794, 0.612)
O (0.788, 0.000, 0.825)

space group: Pm (6)

Below is a relaxed Li2MnP2O8 crystal, with properties calculated at the PBEsol level.

abc: 8.818 13.044 8.949
angles: 90.00 90.00 90.00
Positions (direct):
Li (0.045, 0.126, 0.228)
Li (0.045, 0.374, 0.728)
Li (0.213, 0.626, 0.454)
Li (0.213, 0.874, 0.954)
Li (0.287, 0.126, 0.454)
Li (0.287, 0.374, 0.954)
Li (0.455, 0.626, 0.228)
Li (0.455, 0.874, 0.728)
Li (0.545, 0.126, 0.272)
Li (0.545, 0.374, 0.772)
Li (0.713, 0.626, 0.046)
Li (0.713, 0.874, 0.546)
Li (0.787, 0.126, 0.046)
Li (0.787, 0.374, 0.546)
Li (0.955, 0.626, 0.272)
Li (0.955, 0.874, 0.772)
Mn (0.106, 0.624, 0.859)
Mn (0.106, 0.876, 0.359)
Mn (0.394, 0.124, 0.859)
Mn (0.394, 0.376, 0.359)
Mn (0.606, 0.624, 0.641)
Mn (0.606, 0.876, 0.141)
Mn (0.894, 0.124, 0.641)
Mn (0.894, 0.376, 0.141)
P (0.065, 0.218, 0.927)
P (0.065, 0.282, 0.427)
P (0.186, 0.511, 0.157)
P (0.186, 0.989, 0.657)
P (0.314, 0.011, 0.157)
P (0.314, 0.489, 0.657)
P (0.435, 0.718, 0.927)
P (0.435, 0.782, 0.427)
P (0.565, 0.218, 0.573)
P (0.565, 0.282, 0.073)
P (0.686, 0.511, 0.343)
P (0.686, 0.989, 0.843)
P (0.814, 0.011, 0.343)
P (0.814, 0.489, 0.843)
P (0.935, 0.718, 0.573)
P (0.935, 0.782, 0.073)
O (0.001, 0.218, 0.764)
O (0.001, 0.282, 0.264)
O (0.002, 0.135, 0.024)
O (0.002, 0.365, 0.524)
O (0.019, 0.014, 0.698)
O (0.019, 0.486, 0.198)
O (0.026, 0.169, 0.482)
O (0.026, 0.331, 0.982)
O (0.203, 0.525, 0.985)
O (0.203, 0.975, 0.485)
O (0.222, 0.589, 0.691)
O (0.222, 0.911, 0.191)
O (0.234, 0.604, 0.243)
O (0.234, 0.896, 0.743)
O (0.242, 0.221, 0.920)
O (0.242, 0.279, 0.420)
O (0.258, 0.721, 0.920)
O (0.258, 0.779, 0.420)
O (0.266, 0.104, 0.243)
O (0.266, 0.396, 0.743)
O (0.278, 0.089, 0.691)
O (0.278, 0.411, 0.191)
O (0.297, 0.025, 0.985)
O (0.297, 0.475, 0.485)
O (0.474, 0.669, 0.482)
O (0.474, 0.831, 0.982)
O (0.481, 0.514, 0.698)
O (0.481, 0.986, 0.198)
O (0.498, 0.635, 0.024)
O (0.498, 0.865, 0.524)
O (0.499, 0.718, 0.764)
O (0.499, 0.782, 0.264)
O (0.501, 0.218, 0.736)
O (0.501, 0.282, 0.236)
O (0.502, 0.135, 0.476)
O (0.502, 0.365, 0.976)
O (0.519, 0.014, 0.802)
O (0.519, 0.486, 0.302)
O (0.526, 0.169, 0.018)
O (0.526, 0.331, 0.518)
O (0.703, 0.525, 0.515)
O (0.703, 0.975, 0.015)
O (0.722, 0.589, 0.809)
O (0.722, 0.911, 0.309)
O (0.734, 0.604, 0.257)
O (0.734, 0.896, 0.757)
O (0.742, 0.221, 0.580)
O (0.742, 0.279, 0.080)
O (0.758, 0.721, 0.580)
O (0.758, 0.779, 0.080)
O (0.766, 0.104, 0.257)
O (0.766, 0.396, 0.757)
O (0.778, 0.089, 0.809)
O (0.778, 0.411, 0.309)
O (0.797, 0.025, 0.515)
O (0.797, 0.475, 0.015)
O (0.974, 0.669, 0.018)
O (0.974, 0.831, 0.518)
O (0.981, 0.514, 0.802)
O (0.981, 0.986, 0.302)
O (0.998, 0.635, 0.476)
O (0.998, 0.865, 0.976)
O (0.999, 0.718, 0.736)
O (0.999, 0.782, 0.236)

ΔE to the lowest computed polymorph: 4 meV per atom
space group: Pbca (61)

Below is a relaxed LiMn2P3O12 crystal, with properties calculated at the PBEsol level.

abc: 8.110 8.391 14.074
angles: 90.00 125.08 90.00
Positions (direct):
Li (0.000, 0.040, 0.000)
Li (0.000, 0.960, 0.500)
Li (0.377, 0.353, 0.485)
Li (0.377, 0.647, 0.985)
Mn (0.130, 0.283, 0.564)
Mn (0.130, 0.717, 0.064)
Mn (0.364, 0.277, 0.289)
Mn (0.364, 0.723, 0.789)
Mn (0.632, 0.221, 0.066)
Mn (0.632, 0.779, 0.566)
Mn (0.867, 0.224, 0.796)
Mn (0.867, 0.776, 0.296)
P (0.028, 0.137, 0.321)
P (0.028, 0.863, 0.821)
P (0.257, 0.364, 0.828)
P (0.257, 0.636, 0.328)
P (0.460, 0.000, 0.172)
P (0.460, 0.000, 0.672)
P (0.546, 0.497, 0.192)
P (0.546, 0.503, 0.692)
P (0.743, 0.133, 0.534)
P (0.743, 0.867, 0.034)
P (0.966, 0.369, 0.037)
P (0.966, 0.631, 0.537)
O (0.013, 0.029, 0.864)
O (0.013, 0.971, 0.364)
O (0.113, 0.323, 0.862)
O (0.113, 0.677, 0.362)
O (0.120, 0.251, 0.427)
O (0.120, 0.749, 0.927)
O (0.161, 0.323, 0.700)
O (0.161, 0.677, 0.200)
O (0.171, 0.137, 0.283)
O (0.171, 0.863, 0.783)
O (0.182, 0.311, 0.133)
O (0.182, 0.689, 0.633)
O (0.248, 0.076, 0.615)
O (0.248, 0.924, 0.115)
O (0.284, 0.452, 0.342)
O (0.284, 0.548, 0.842)
O (0.379, 0.376, 0.620)
O (0.379, 0.624, 0.120)
O (0.454, 0.270, 0.906)
O (0.454, 0.730, 0.406)
O (0.458, 0.076, 0.071)
O (0.458, 0.924, 0.571)
O (0.490, 0.118, 0.264)
O (0.490, 0.882, 0.764)
O (0.510, 0.386, 0.094)
O (0.510, 0.614, 0.594)
O (0.543, 0.421, 0.290)
O (0.543, 0.579, 0.790)
O (0.545, 0.228, 0.456)
O (0.545, 0.772, 0.956)
O (0.621, 0.128, 0.738)
O (0.621, 0.872, 0.238)
O (0.726, 0.051, 0.022)
O (0.726, 0.949, 0.522)
O (0.751, 0.423, 0.746)
O (0.751, 0.577, 0.246)
O (0.813, 0.191, 0.225)
O (0.813, 0.809, 0.725)
O (0.823, 0.365, 0.075)
O (0.823, 0.635, 0.575)
O (0.841, 0.182, 0.660)
O (0.841, 0.818, 0.160)
O (0.888, 0.169, 0.498)
O (0.888, 0.831, 0.998)
O (0.890, 0.249, 0.936)
O (0.890, 0.751, 0.436)
O (0.978, 0.465, 0.496)
O (0.978, 0.535, 0.996)

ΔE to the lowest computed polymorph: 0 meV per atom
space group: Pc (7)

Below is a relaxed LiMn2P2O8 crystal, with properties calculated at the PBEsol level.

abc: 5.228 5.953 10.496
angles: 90.00 118.43 90.00
Positions (direct):
Li (0.000, 0.130, 0.000)
Li (0.000, 0.870, 0.500)
Mn (0.077, 0.378, 0.721)
Mn (0.077, 0.622, 0.221)
Mn (0.366, 0.147, 0.414)
Mn (0.366, 0.853, 0.914)
P (0.541, 0.105, 0.687)
P (0.541, 0.895, 0.187)
P (0.809, 0.388, 0.419)
P (0.809, 0.612, 0.919)
O (0.371, 0.085, 0.775)
O (0.371, 0.915, 0.275)
O (0.427, 0.076, 0.063)
O (0.427, 0.924, 0.563)
O (0.445, 0.320, 0.590)
O (0.445, 0.680, 0.090)
O (0.465, 0.396, 0.324)
O (0.465, 0.604, 0.824)
O (0.856, 0.167, 0.506)
O (0.856, 0.833, 0.006)
O (0.869, 0.115, 0.789)
O (0.869, 0.885, 0.289)
O (0.918, 0.422, 0.030)
O (0.918, 0.578, 0.530)
O (0.957, 0.377, 0.322)
O (0.957, 0.623, 0.822)

ΔE to the lowest computed polymorph: 53 meV per atom
space group: Pc (7)

| no. | formation energy without anion corrections (eV/atom) | energy (hartree per atom) |
| --- | --- | --- |
| 1 | -2.114 | -0.27831 |
| 2 | -2.056 | -0.27619 |
| 3 | -2.203 | -0.26271 |
| 4 | -2.137 | -0.27291 |
| 5 | -2.154 | -0.27115 |
| 6 | -2.146 | -0.26903 |
| 7 | -2.016 | -0.28204 |
| 8 | -1.958 | -0.28415 |